Compound: V5Ge3
Source: Alexandria
Functional: PBE
Structure: relaxed

For the formation enthalpy at 0 K, the calculation gives -0.317 eV per atom.

The space group is P6_3/mcm (No. 193) and the conventional cell measures 7.2630, 7.2630 and 4.9347 Å, with angles of 90.00, 90.00 and 120.00 degrees. Symmetry generates all atoms from V at (0.0000, 0.2414, 0.2500), V at (0.3333, 0.6667, 0.0000) and Ge at (0.0000, 0.3929, 0.7500).



Compound: V5Ge
Source: Alexandria
Functional: PBE
Structure: relaxed

For the formation enthalpy at 0 K, the calculation gives -0.175 eV per atom.

The space group is Cmmm (No. 65) and the conventional cell measures 4.1548, 12.3889 and 3.1491 Å, with angles of 90.00, 90.00 and 90.00 degrees. Symmetry generates all atoms from V at (0.0000, 0.0000, 0.0000), V at (0.0000, 0.1614, 0.5000), V at (0.0000, 0.3271, 0.0000) and Ge at (0.0000, 0.5000, 0.5000).



Compound: VGe
Source: Alexandria
Functional: PBE
Structure: relaxed

For the formation enthalpy at 0 K, the calculation gives 0.929 eV per atom.

The space group is Pm-3n (No. 223) and the conventional cell measures 6.8911, 6.8911 and 6.8911 Å, with angles of 90.00, 90.00 and 90.00 degrees. Symmetry generates all atoms from V at (0.0000, 0.2500, 0.5000) and Ge at (0.0000, 0.5000, 0.2500).



Compound: V5Ge3
Source: Alexandria
Functional: PBE
Structure: relaxed

For the formation enthalpy at 0 K, the calculation gives -0.373 eV per atom.

The space group is I4/mcm (No. 140) and the conventional cell measures 9.5749, 9.5749 and 4.8364 Å, with angles of 90.00, 90.00 and 90.00 degrees. Symmetry generates all atoms from V at (0.0000, 0.5000, 0.2500), V at (0.0753, 0.2285, 0.0000), Ge at (0.0000, 0.0000, 0.2500) and Ge at (0.1659, 0.3341, 0.5000).



Compound: V8Ge
Source: Alexandria
Functional: PBE
Structure: relaxed

For the formation enthalpy at 0 K, the calculation gives -0.014 eV per atom.

The space group is I4/mmm (No. 139) and the conventional cell measures 7.5586, 7.5586 and 4.3026 Å, with angles of 90.00, 90.00 and 90.00 degrees. Symmetry generates all atoms from V at (0.0000, 0.3315, 0.0000), V at (0.1632, 0.1632, 0.5000) and Ge at (0.0000, 0.0000, 0.0000).



Compound: V4Ge
Source: Alexandria
Functional: PBE
Structure: relaxed

For the formation enthalpy at 0 K, the calculation gives 0.251 eV per atom.

The space group is P2_1/c (No. 14) and the conventional cell measures 6.1472, 4.3729 and 5.8508 Å, with angles of 90.00, 90.58 and 90.00 degrees. Symmetry generates all atoms from V at (0.1446, 0.2434, 0.0032), V at (0.1758, 0.7491, 0.2521) and Ge at (0.5000, 0.0000, 0.5000).



Compound: VGe
Source: Alexandria
Functional: PBE
Structure: relaxed

For the formation enthalpy at 0 K, the calculation gives 0.918 eV per atom.

The space group is F-43m (No. 216) and the conventional cell measures 5.6399, 5.6399 and 5.6399 Å, with angles of 90.00, 90.00 and 90.00 degrees. Symmetry generates all atoms from V at (0.0000, 0.0000, 0.0000) and Ge at (0.2500, 0.2500, 0.7500).



Compound: V7Ge
Source: Alexandria
Functional: PBE
Structure: relaxed

For the formation enthalpy at 0 K, the calculation gives -0.115 eV per atom.

The space group is I4/mmm (No. 139) and the conventional cell measures 4.2410, 4.2410 and 12.0419 Å, with angles of 90.00, 90.00 and 90.00 degrees. Symmetry generates all atoms from V at (0.0000, 0.0000, 0.0000), V at (0.0000, 0.0000, 0.2487), V at (0.0000, 0.5000, 0.1302) and Ge at (0.0000, 0.0000, 0.5000).



Compound: VGe
Source: Alexandria
Functional: PBE
Structure: relaxed

For the formation enthalpy at 0 K, the calculation gives -0.097 eV per atom.

The space group is Imma (No. 74) and the conventional cell measures 3.4937, 3.9067 and 8.3293 Å, with angles of 90.00, 90.00 and 90.00 degrees. Symmetry generates all atoms from V at (0.0000, 0.2500, 0.1305) and Ge at (0.0000, 0.2500, 0.6209).



Compound: VGe
Source: Alexandria
Functional: PBE
Structure: relaxed

For the formation enthalpy at 0 K, the calculation gives -0.048 eV per atom.

The space group is I4/mmm (No. 139) and the conventional cell measures 8.5779, 8.5779 and 3.3187 Å, with angles of 90.00, 90.00 and 90.00 degrees. Symmetry generates all atoms from V at (0.0000, 0.3234, 0.0000) and Ge at (0.1639, 0.1639, 0.5000).



Compound: VGe2
Source: Alexandria
Functional: PBE
Structure: relaxed

For the formation enthalpy at 0 K, the calculation gives -0.133 eV per atom.

The space group is I4/mmm (No. 139) and the conventional cell measures 3.2801, 3.2801 and 8.2688 Å, with angles of 90.00, 90.00 and 90.00 degrees. Symmetry generates all atoms from V at (0.0000, 0.0000, 0.0000) and Ge at (0.0000, 0.0000, 0.3393).



Compound: VGe
Source: Alexandria
Functional: PBE
Structure: relaxed

For the formation enthalpy at 0 K, the calculation gives 0.167 eV per atom.

The space group is Immm (No. 71) and the conventional cell measures 3.7848, 4.1402 and 12.8050 Å, with angles of 90.00, 90.00 and 90.00 degrees. Symmetry generates all atoms from V at (0.0000, 0.0000, 0.0000), V at (0.0000, 0.5000, 0.1211), Ge at (0.0000, 0.0000, 0.2334) and Ge at (0.0000, 0.0000, 0.5000).



Compound: VGe
Source: Alexandria
Functional: PBE
Structure: relaxed

For the formation enthalpy at 0 K, the calculation gives -0.160 eV per atom.

The space group is Pm (No. 6) and the conventional cell measures 2.8325, 3.9623 and 2.8868 Å, with angles of 90.00, 116.29 and 90.00 degrees. Symmetry generates all atoms from V at (0.0000, 0.0000, 0.0000) and Ge at (0.3402, 0.5000, 0.6505).



Compound: VGe
Source: Alexandria
Functional: PBE
Structure: relaxed

For the formation enthalpy at 0 K, the calculation gives -0.092 eV per atom.

The space group is C2/m (No. 12) and the conventional cell measures 9.4298, 2.7763 and 4.5144 Å, with angles of 90.00, 103.17 and 90.00 degrees. Symmetry generates all atoms from V at (0.1176, 0.0000, 0.3131) and Ge at (0.1250, 0.5000, 0.8135).



Compound: VGeW
Source: Alexandria
Functional: PBE
Structure: relaxed

For the formation enthalpy at 0 K, the calculation gives -0.036 eV per atom.

The space group is C2/c (No. 15) and the conventional cell measures 4.8594, 8.0043 and 5.1760 Å, with angles of 90.00, 117.54 and 90.00 degrees. Symmetry generates all atoms from V at (0.0000, 0.0380, 0.2500), Ge at (0.0000, 0.3783, 0.2500) and W at (0.0000, 0.2839, 0.7500).



Compound: V2GeW
Source: Alexandria
Functional: PBE
Structure: relaxed

For the formation enthalpy at 0 K, the calculation gives 0.088 eV per atom.

The space group is Immm (No. 71) and the conventional cell measures 3.0504, 4.3658 and 17.6727 Å, with angles of 90.00, 90.00 and 90.00 degrees. Symmetry generates all atoms from V at (0.0000, 0.0000, 0.2444), V at (0.0000, 0.2375, 0.0000), Ge at (0.0000, 0.5000, 0.1379) and W at (0.0000, 0.5000, 0.3772).



Compound: VGeW
Source: Alexandria
Functional: PBE
Structure: relaxed

For the formation enthalpy at 0 K, the calculation gives 0.148 eV per atom.

The space group is Pmmn (No. 59, origin choice 2) and the conventional cell measures 2.6847, 4.7098 and 7.2907 Å, with angles of 90.00, 90.00 and 90.00 degrees. Symmetry generates all atoms from V at (0.2500, 0.2500, 0.0804), Ge at (0.2500, 0.7500, 0.2325) and W at (0.2500, 0.2500, 0.4260).



Compound: VGe3W
Source: Alexandria
Functional: PBE
Structure: relaxed

For the formation enthalpy at 0 K, the calculation gives 1.234 eV per atom.

The space group is Pm-3m (No. 221) and the conventional cell measures 4.6876, 4.6876 and 4.6876 Å, with angles of 90.00, 90.00 and 90.00 degrees. Symmetry generates all atoms from V at (0.0000, 0.0000, 0.0000), Ge at (0.0000, 0.0000, 0.5000) and W at (0.5000, 0.5000, 0.5000).



Compound: V2GeW
Source: Alexandria
Functional: PBE
Structure: relaxed

For the formation enthalpy at 0 K, the calculation gives -0.126 eV per atom.

The space group is P4/mmm (No. 123) and the conventional cell measures 4.1356, 4.1356 and 3.3297 Å, with angles of 90.00, 90.00 and 90.00 degrees. Symmetry generates all atoms from V at (0.0000, 0.5000, 0.0000), Ge at (0.0000, 0.0000, 0.5000) and W at (0.5000, 0.5000, 0.5000).



Compound: VGeW3
Source: Alexandria
Functional: PBE
Structure: relaxed

For the formation enthalpy at 0 K, the calculation gives 1.735 eV per atom.

The space group is Pm-3m (No. 221) and the conventional cell measures 4.5771, 4.5771 and 4.5771 Å, with angles of 90.00, 90.00 and 90.00 degrees. Symmetry generates all atoms from V at (0.0000, 0.0000, 0.0000), Ge at (0.5000, 0.5000, 0.5000) and W at (0.0000, 0.5000, 0.5000).